Here is BaSc2Ti2 after structural relaxation from Alexandria. Energies are from GGA-PBE.

```
BaSc2Ti2
1.0
-3.194 0.077 8.192
8.182 -0.412 3.194
0.156 3.320 0.029
Sc Ti Ba
4 4 2
Direct
0.671 0.829 0.500
0.829 0.329 0.500
0.329 0.171 0.500
0.171 0.671 0.500
0.392 0.892 0.000
0.608 0.108 0.000
0.108 0.392 0.000
0.892 0.608 0.000
0.000 0.000 0.000
0.500 0.500 0.000
```

Properties
calculated density	4.17	g cm⁻³
size of the total moment	0.00	μB/cell
space-group type	No. 127
ΔE_f	0.35	eV per atom